# 1
DFT (PBE with a Hubbard U) results for a relaxed structure of Mn2AlCrO6.

## Properties
The size of the total moment comes out at 7.0 μB/f.u. For the energy, the calculation gives -7.371 eV per atom. Its space group is P1 (1). Its density is 4.90 g cm⁻³.

extended XYZ file:
```
10
Lattice="-1.402 -0.501 -4.754 3.026 -2.193 -3.271 -1.322 -4.894 -1.737" Properties=species:S:1:pos:R:3 pbc="T T T"
O -1.640 -4.318 -5.076
O 0.567 -5.473 -5.611
O -0.492 -1.986 -4.015
O 0.194 -2.983 -6.814
O 2.178 -3.354 -4.530
O 0.098 -4.681 -3.228
Mn -1.237 -4.715 -1.783
Mn 0.228 -3.610 -4.924
Al 0.429 -1.103 -2.629
Cr 0.612 -4.881 -7.516
```

---

# 2
DFT (PBE with a Hubbard U) results for a relaxed structure of MnAlCr2O6.

## Properties
The size of the total moment comes out at 8.0 μB/f.u. For the energy, the calculation gives -7.592 eV per atom. Its space group is P1 (1). Its density is 4.79 g cm⁻³.

extended XYZ file:
```
10
Lattice="4.994 0.000 -0.009 2.493 4.326 -0.004 2.488 1.442 4.522" Properties=species:S:1:pos:R:3 pbc="T T T"
Cr 4.993 2.889 2.040
Cr 2.488 1.439 4.287
O 5.771 4.149 3.421
O 5.689 1.577 3.418
O 6.785 2.953 1.105
O 4.161 1.291 1.113
O 3.497 2.932 3.419
O 4.029 4.408 1.115
Mn 7.476 4.321 2.459
Al 2.495 1.440 0.243
```